Entry 1:
Density functional theory data (PBE-GGA) for crystalline MgSb2I2 at its relaxed geometry.

Calculated values
Magnetization (Bohr magnetons per cell): 0.00
DOS(E_F) (states/eV per atom): 0.25
Raw formation energy (kJ/mol of atoms): -13

a = 7.6884 Å, b = 7.6884 Å, c = 6.0057 Å
α = 90.00°, β = 90.00°, γ = 90.00°
With the nearest neighbours (Å) after each atom.
Atoms (fractional coordinates):
Mg1 0.0000 0.0000 0.0000  4 Sb 3.00
Mg2 0.5000 0.5000 0.0000  4 Sb 3.00
Sb1 0.1342 0.3658 0.0000  1 Sb 2.92, 2 Mg 3.00, 2 I 3.05
Sb2 0.3658 0.8658 0.0000  1 Sb 2.92, 2 Mg 3.00, 2 I 3.05
Sb3 0.6342 0.1342 0.0000  1 Sb 2.92, 2 Mg 3.00, 2 I 3.05
Sb4 0.8658 0.6342 0.0000  1 Sb 2.92, 2 Mg 3.00, 2 I 3.05
I1 0.1831 0.3169 0.5000  2 Sb 3.05
I2 0.3169 0.8169 0.5000  2 Sb 3.05
I3 0.6831 0.1831 0.5000  2 Sb 3.05
I4 0.8169 0.6831 0.5000  2 Sb 3.05

Entry 2:
Density functional theory data (PBE-GGA) for crystalline MgSb2I at its relaxed geometry.

Calculated values
Magnetization (Bohr magnetons per cell): 0.00
DOS(E_F) (states/eV per atom): 0.78
Raw formation energy (kJ/mol of atoms): 29

a = 5.4448 Å, b = 5.4448 Å, c = 5.4448 Å
α = 60.00°, β = 60.00°, γ = 60.00°
With the nearest neighbours (Å) after each atom.
Atoms (fractional coordinates):
Mg1 0.0000 0.0000 0.0000  8 Sb 3.33
Sb1 0.2500 0.2500 0.2500  4 I 3.33, 4 Mg 3.33
Sb2 0.7500 0.7500 0.7500  4 I 3.33, 4 Mg 3.33
I1 0.5000 0.5000 0.5000  8 Sb 3.33

Entry 3:
Density functional theory data (PBE-GGA) for crystalline MgSb2I2 at its relaxed geometry.

Calculated values
Magnetization (Bohr magnetons per cell): 0.00
DOS(E_F) (states/eV per atom): 0.40
Raw formation energy (kJ/mol of atoms): 34

a = 7.6002 Å, b = 7.6002 Å, c = 7.6002 Å
α = 138.15°, β = 138.15°, γ = 60.67°
With the nearest neighbours (Å) after each atom.
Atoms (fractional coordinates):
Mg1 0.0000 0.0000 0.0000  8 Sb 4.07, 8 I 4.26
Sb1 0.3972 0.3972 0.0000  1 Sb 2.70
Sb2 0.6028 0.6028 0.0000  1 Sb 2.70
I1 0.2500 0.7500 0.5000  4 Sb 3.33
I2 0.7500 0.2500 0.5000  4 Sb 3.33